1.
Compound: Ac6Ir3Pd2Br
Source: the Alexandria database
Functional: PBE-GGA
Structure: optimized geometry

Structure (POSCAR):
```
Ac6Ir3Pd2Br
1.0
-2.108 -1.928 3.298
7.472 -4.491 2.151
1.605 9.149 3.489
Pd Ac Ir Br
2 6 3 1
direct
0.835 0.668 0.670 Pd
0.165 0.332 0.330 Pd
0.665 0.593 0.329 Ac
0.322 0.922 0.644 Ac
0.004 0.723 0.009 Ac
0.996 0.277 0.991 Ac
0.678 0.078 0.356 Ac
0.335 0.407 0.671 Ac
0.163 0.833 0.325 Ir
0.500 0.500 0.000 Ir
0.837 0.167 0.675 Ir
0.500 0.000 0.000 Br
```

DOS at the Fermi energy = 5.07 states/eV per cell
total moment = 0.000 Bohr magnetons per cell
space group = C2/m, No. 12
formation energy without anion corrections = -0.84 eV per atom

---

2.
Compound: Ac8Ir3PdBr4
Source: the Alexandria database
Functional: PBE-GGA
Structure: optimized geometry

Structure (POSCAR):
```
Ac8Ir3PdBr4
1.0
8.774 0.000 0.000
0.000 9.676 0.631
-4.387 -4.386 6.204
Br Ac Pd Ir
4 8 1 3
direct
0.500 0.000 0.000 Br
0.500 0.000 0.500 Br
0.000 0.000 0.000 Br
0.000 0.000 0.500 Br
0.236 0.695 0.959 Ac
0.723 0.695 0.959 Ac
0.269 0.306 0.537 Ac
0.764 0.305 0.041 Ac
0.236 0.695 0.472 Ac
0.731 0.694 0.463 Ac
0.764 0.305 0.528 Ac
0.277 0.305 0.041 Ac
0.000 0.500 0.000 Pd
0.500 0.500 0.000 Ir
0.500 0.500 0.500 Ir
0.000 0.500 0.500 Ir
```

DOS at the Fermi energy = 6.89 states/eV per cell
total moment = 0.000 Bohr magnetons per cell
space group = R-3m, No. 166
formation energy without anion corrections = -1.18 eV per atom

---

3.
Compound: AcPrIrBr
Source: the Alexandria database
Functional: PBE-GGA
Structure: optimized geometry

Structure (POSCAR):
```
AcPrIrBr
1.0
-1.480 -3.972 0.559
4.098 0.891 0.829
-2.332 4.161 7.041
Ac Br Ir Pr
1 1 1 1
direct
0.512 0.154 0.681 Ac
0.955 0.376 0.346 Br
0.311 0.553 0.879 Ir
0.101 0.948 0.064 Pr
```

DOS at the Fermi energy = 0.79 states/eV per cell
total moment = 0.000 Bohr magnetons per cell
space group = R3m, No. 160
formation energy without anion corrections = -1.12 eV per atom

---

4.
Compound: Ac6Ir2PtBr2
Source: the Alexandria database
Functional: PBE-GGA
Structure: optimized geometry

Structure (POSCAR):
```
Ac6Ir2PtBr2
1.0
-2.329 4.250 -5.911
2.030 -7.284 -1.121
-7.429 -1.296 3.639
Ac Br Ir Pt
6 2 2 1
direct
0.070 0.406 0.699 Ac
0.278 0.278 0.301 Ac
0.406 0.070 0.699 Ac
0.930 0.594 0.301 Ac
0.722 0.722 0.699 Ac
0.594 0.930 0.301 Ac
0.167 0.833 0.000 Br
0.833 0.167 0.000 Br
0.669 0.331 0.500 Ir
0.331 0.669 0.500 Ir
0.000 0.000 0.500 Pt
```

DOS at the Fermi energy = 5.30 states/eV per cell
total moment = 0.000 Bohr magnetons per cell
space group = C2/m, No. 12
formation energy without anion corrections = -1.07 eV per atom

---

5.
Compound: Ac8IrPt3Br4
Source: the Alexandria database
Functional: PBE-GGA
Structure: optimized geometry

Structure (POSCAR):
```
Ac8IrPt3Br4
1.0
-8.255 3.135 -0.722
-3.487 -9.025 0.678
5.251 2.818 6.555
Ir Br Ac Pt
1 4 8 3
direct
0.000 0.500 0.000 Ir
0.000 0.000 0.000 Br
0.000 0.000 0.500 Br
0.500 0.000 0.000 Br
0.500 0.000 0.500 Br
0.738 0.695 0.967 Ac
0.771 0.305 0.542 Ac
0.771 0.305 0.033 Ac
0.229 0.695 0.967 Ac
0.732 0.696 0.464 Ac
0.262 0.305 0.033 Ac
0.229 0.695 0.458 Ac
0.268 0.304 0.536 Ac
0.500 0.500 0.500 Pt
0.000 0.500 0.500 Pt
0.500 0.500 0.000 Pt
```

DOS at the Fermi energy = 11.88 states/eV per cell
total moment = 0.000 Bohr magnetons per cell
space group = C2/m, No. 12
formation energy without anion corrections = -1.32 eV per atom

---

6.
Compound: Ac6Ir3Pt2Br
Source: the Alexandria database
Functional: PBE-GGA
Structure: optimized geometry

Structure (POSCAR):
```
Ac6Ir3Pt2Br
1.0
4.344 0.000 0.000
0.000 8.947 0.236
-2.172 -2.667 9.270
Pt Ir Ac Br
2 3 6 1
direct
0.836 0.672 0.671 Pt
0.164 0.328 0.329 Pt
0.162 0.831 0.324 Ir
0.838 0.169 0.676 Ir
0.500 0.500 0.000 Ir
0.322 0.920 0.644 Ac
0.997 0.278 0.994 Ac
0.003 0.722 0.006 Ac
0.678 0.080 0.356 Ac
0.666 0.588 0.332 Ac
0.334 0.412 0.668 Ac
0.500 0.000 0.000 Br
```

DOS at the Fermi energy = 4.89 states/eV per cell
total moment = 0.000 Bohr magnetons per cell
space group = C2/m, No. 12
formation energy without anion corrections = -0.95 eV per atom

---

7.
Compound: Ac8IrPt3Br3
Source: the Alexandria database
Functional: PBE-GGA
Structure: optimized geometry

Structure (POSCAR):
```
Ac8IrPt3Br3
1.0
8.905 0.000 0.000
-4.452 7.701 -0.037
0.000 -5.112 8.117
Ac Pt Br Ir
8 3 3 1
direct
0.732 0.465 0.698 Ac
0.771 0.033 0.303 Ac
0.229 0.967 0.697 Ac
0.268 0.535 0.302 Ac
0.230 0.459 0.697 Ac
0.263 0.033 0.303 Ac
0.770 0.541 0.303 Ac
0.737 0.967 0.697 Ac
0.500 0.500 0.500 Pt
0.500 0.000 0.500 Pt
0.000 0.500 0.500 Pt
0.000 0.500 0.000 Br
0.500 0.500 0.000 Br
0.000 0.000 0.000 Br
0.000 0.000 0.500 Ir
```

DOS at the Fermi energy = 11.27 states/eV per cell
total moment = 0.000 Bohr magnetons per cell
space group = C2/m, No. 12
formation energy without anion corrections = -1.18 eV per atom

---

8.
Compound: Ac8Ir3PtBr3
Source: the Alexandria database
Functional: PBE-GGA
Structure: optimized geometry

Structure (POSCAR):
```
Ac8Ir3PtBr3
1.0
-3.212 4.431 6.893
-5.479 -4.012 -5.593
5.067 -5.500 5.897
Ac Br Ir Pt
8 3 3 1
direct
0.733 0.466 0.698 Ac
0.764 0.527 0.302 Ac
0.236 0.473 0.698 Ac
0.237 0.962 0.698 Ac
0.726 0.962 0.698 Ac
0.267 0.534 0.302 Ac
0.763 0.038 0.302 Ac
0.274 0.038 0.302 Ac
0.500 0.500 0.000 Br
0.000 0.000 0.000 Br
0.000 0.500 0.000 Br
0.000 0.500 0.500 Ir
0.500 0.500 0.500 Ir
0.500 0.000 0.500 Ir
0.000 0.000 0.500 Pt
```

DOS at the Fermi energy = 7.40 states/eV per cell
total moment = 0.185 Bohr magnetons per cell
space group = R-3m, No. 166
formation energy without anion corrections = -1.11 eV per atom

---

9.
Compound: AcPuIrBr
Source: the Alexandria database
Functional: PBE-GGA
Structure: optimized geometry

Structure (POSCAR):
```
AcPuIrBr
1.0
-2.596 -3.248 -0.236
2.322 1.051 -3.292
6.856 -3.086 3.851
Br Ac Pu Ir
1 1 1 1
direct
0.961 0.379 0.355 Br
0.503 0.150 0.668 Ac
0.097 0.946 0.059 Pu
0.317 0.556 0.888 Ir
```

DOS at the Fermi energy = 11.06 states/eV per cell
total moment = 5.293 Bohr magnetons per cell
space group = R3m, No. 160
formation energy without anion corrections = -0.90 eV per atom

---

10.
Compound: Ac8IrRh3Br4
Source: the Alexandria database
Functional: PBE-GGA
Structure: optimized geometry

Structure (POSCAR):
```
Ac8IrRh3Br4
1.0
-2.880 5.739 5.846
-1.424 -7.189 6.356
8.008 0.776 -3.266
Br Ac Rh Ir
4 8 3 1
direct
0.000 0.000 0.500 Br
0.500 0.000 0.000 Br
0.000 0.000 0.000 Br
0.500 0.000 0.500 Br
0.769 0.306 0.036 Ac
0.732 0.694 0.463 Ac
0.231 0.694 0.964 Ac
0.268 0.306 0.537 Ac
0.267 0.306 0.036 Ac
0.769 0.306 0.538 Ac
0.733 0.694 0.964 Ac
0.231 0.694 0.462 Ac
0.500 0.500 0.500 Rh
0.500 0.500 0.000 Rh
0.000 0.500 0.500 Rh
0.000 0.500 0.000 Ir
```

DOS at the Fermi energy = 3.12 states/eV per cell
total moment = 0.000 Bohr magnetons per cell
space group = R-3m, No. 166
formation energy without anion corrections = -1.18 eV per atom

---

11.
Compound: Ac6Ir3Rh2Br
Source: the Alexandria database
Functional: PBE-GGA
Structure: optimized geometry

Structure (POSCAR):
```
Ac6Ir3Rh2Br
1.0
-0.089 -1.346 4.114
7.980 -3.651 -1.021
2.129 9.417 0.849
Ac Ir Rh Br
6 3 2 1
direct
0.332 0.411 0.664 Ac
0.668 0.589 0.336 Ac
0.998 0.724 0.996 Ac
0.322 0.911 0.645 Ac
0.002 0.276 0.004 Ac
0.678 0.089 0.355 Ac
0.500 0.500 0.000 Ir
0.158 0.836 0.317 Ir
0.842 0.164 0.683 Ir
0.835 0.669 0.671 Rh
0.165 0.331 0.329 Rh
0.500 0.000 0.000 Br
```

DOS at the Fermi energy = 5.45 states/eV per cell
total moment = 0.000 Bohr magnetons per cell
space group = C2/m, No. 12
formation energy without anion corrections = -0.73 eV per atom

---

12.
Compound: Ac6Ir2RhBr2
Source: the Alexandria database
Functional: PBE-GGA
Structure: optimized geometry

Structure (POSCAR):
```
Ac6Ir2RhBr2
1.0
-0.075 -0.923 7.533
-1.777 -5.804 -4.557
8.380 0.025 -1.189
Br Ac Ir Rh
2 6 2 1
direct
0.167 0.833 0.000 Br
0.833 0.167 0.000 Br
0.400 0.067 0.696 Ac
0.270 0.270 0.304 Ac
0.933 0.600 0.304 Ac
0.600 0.933 0.304 Ac
0.730 0.730 0.696 Ac
0.067 0.400 0.696 Ac
0.669 0.331 0.500 Ir
0.331 0.669 0.500 Ir
0.000 0.000 0.500 Rh
```

DOS at the Fermi energy = 6.38 states/eV per cell
total moment = 0.002 Bohr magnetons per cell
space group = C2/m, No. 12
formation energy without anion corrections = -0.99 eV per atom